The following is a DFT calculation (GGA-PBE) of an optimized crystal structure of Hf2NbHg.

Values from the calculation:
- Total DFT energy (no corrections): -7.646 eV per atom
- Space-group type: P4/mmm (123)

a b c (Å): 3.469 3.469 6.885
angles (deg): 90.00 90.00 90.00
Atoms (fractional coordinates):
Hg 0.500 0.500 0.500
Nb 0.500 0.500 0.000
Hf 0.000 0.000 0.231
Hf 0.000 0.000 0.769